A plane-wave DFT calculation with PBE was carried out for crystalline Ga2Cu2Sb at its relaxed geometry.

The structure in CIF format:
```
data_Ga2Cu2Sb
_chemical_formula_sum 'Ga4 Cu4 Sb2'
_space_group_name_H-M_alt 'P 4/m b m'
_space_group_IT_number 127
_space_group_name_Hall '-P 4 2ab'
_cell_length_a 7.389
_cell_length_b 7.389
_cell_length_c 3.173
_cell_angle_alpha 90.00
_cell_angle_beta 90.00
_cell_angle_gamma 90.00
loop_
_atom_site_label
_atom_site_type_symbol
_atom_site_fract_x
_atom_site_fract_y
_atom_site_fract_z
Ga1 Ga 0.167 0.333 0.000
Cu1 Cu 0.125 0.625 0.500
Sb1 Sb 0.000 0.000 0.500
```

DFT total energy (eV per atom): -3.591
Distance to the lowest polymorph of the same formula (meV per atom): 41
ΔE_f (raw) (meV per atom): 83
Total magnetization (μB/atom): 0.000

A plane-wave DFT calculation with PBE was carried out for crystalline GaCuSb2 at its relaxed geometry.

The structure in CIF format:
```
data_GaCuSb2
_chemical_formula_sum 'Ga3 Cu3 Sb6'
_space_group_name_H-M_alt 'R -3 m'
_space_group_IT_number 166
_space_group_name_Hall '-R 3 2"'
_cell_length_a 3.8384
_cell_length_b 3.8384
_cell_length_c 25.0684
_cell_angle_alpha 90.00
_cell_angle_beta 90.00
_cell_angle_gamma 120.00
loop_
_atom_site_label
_atom_site_type_symbol
_atom_site_fract_x
_atom_site_fract_y
_atom_site_fract_z
Ga1 Ga 0.0000 0.0000 0.0000
Cu1 Cu 0.0000 0.0000 0.5000
Sb1 Sb 0.0000 0.0000 0.4011
```

DFT total energy (eV per atom): -3.517
ΔE_f (raw) (meV per atom): 325
Total magnetization (μB/atom): 0.000

A plane-wave DFT calculation with PBE was carried out for crystalline ZnGa2Cu7Sb2 at its relaxed geometry.

The structure in CIF format:
```
data_ZnGa2Cu7Sb2
_chemical_formula_sum 'Zn2 Ga4 Cu14 Sb4'
_space_group_name_H-M_alt 'C 1 2/m 1'
_space_group_IT_number 12
_cell_length_a 5.246
_cell_length_b 5.217
_cell_length_c 14.004
_cell_angle_alpha 90.00
_cell_angle_beta 97.98
_cell_angle_gamma 90.00
loop_
_space_group_symop_operation_xyz
'x,y,z'
'-x,-y,-z'
'-x,y,-z'
'x,-y,z'
'x+1/2,y+1/2,z'
'-x+1/2,-y+1/2,-z'
'-x+1/2,y+1/2,-z'
'x+1/2,-y+1/2,z'
loop_
_atom_site_label
_atom_site_type_symbol
_atom_site_fract_x
_atom_site_fract_y
_atom_site_fract_z
Zn1 Zn 0.000 0.000 0.000
Ga1 Ga 0.105 0.500 0.262
Cu1 Cu 0.000 0.500 0.000
Cu2 Cu 0.185 0.500 0.445
Cu3 Cu 0.200 0.250 0.867
Sb1 Sb 0.157 0.000 0.369
```

DFT total energy (eV per atom): -3.608
ΔE_f (raw) (meV per atom): 79
Total magnetization (μB/atom): 0.000

A plane-wave DFT calculation with PBE was carried out for crystalline Sc3GaCu2 at its relaxed geometry.

The structure in CIF format:
```
data_Sc3GaCu2
_chemical_formula_sum 'Sc6 Ga2 Cu4'
_space_group_name_H-M_alt 'P -3 m 1'
_space_group_IT_number 164
_space_group_name_Hall '-P 3 2"'
_cell_length_a 4.6634
_cell_length_b 4.6634
_cell_length_c 11.4150
_cell_angle_alpha 90.00
_cell_angle_beta 90.00
_cell_angle_gamma 120.00
loop_
_atom_site_label
_atom_site_type_symbol
_atom_site_fract_x
_atom_site_fract_y
_atom_site_fract_z
Sc1 Sc 0.0000 0.0000 0.2444
Sc2 Sc 0.3333 0.6667 0.4166
Sc3 Sc 0.3333 0.6667 0.9219
Ga1 Ga 0.3333 0.6667 0.6685
Cu1 Cu 0.0000 0.0000 0.0000
Cu2 Cu 0.0000 0.0000 0.5000
Cu3 Cu 0.3333 0.6667 0.1685
```

DFT total energy (eV per atom): -5.437
Distance to the lowest polymorph of the same formula (meV per atom): 0
Formation enthalpy at 0 K (meV per atom): -402
Total magnetization (μB/atom): 0.000

A plane-wave DFT calculation with PBE was carried out for crystalline ScGaCu at its relaxed geometry.

The structure in CIF format:
```
data_ScGaCu
_chemical_formula_sum 'Sc4 Ga4 Cu4'
_space_group_name_H-M_alt 'C 1 2/m 1'
_space_group_IT_number 12
_cell_length_a 9.776
_cell_length_b 4.187
_cell_length_c 6.565
_cell_angle_alpha 90.00
_cell_angle_beta 131.31
_cell_angle_gamma 90.00
loop_
_space_group_symop_operation_xyz
'x,y,z'
'-x,-y,-z'
'-x,y,-z'
'x,-y,z'
'x+1/2,y+1/2,z'
'-x+1/2,-y+1/2,-z'
'-x+1/2,y+1/2,-z'
'x+1/2,-y+1/2,z'
loop_
_atom_site_label
_atom_site_type_symbol
_atom_site_fract_x
_atom_site_fract_y
_atom_site_fract_z
Sc1 Sc 0.038 0.000 0.295
Ga1 Ga 0.168 0.500 0.116
Cu1 Cu 0.164 0.500 0.707
```

DFT total energy (eV per atom): -4.967
Formation enthalpy at 0 K (meV per atom): -482
Total magnetization (μB/atom): 0.000

A plane-wave DFT calculation with PBE was carried out for crystalline Sc5Ga4Cu at its relaxed geometry.

The structure in CIF format:
```
data_Sc5Ga4Cu
_chemical_formula_sum 'Sc5 Ga4 Cu1'
_space_group_name_H-M_alt 'P 4/m m m'
_space_group_IT_number 123
_space_group_name_Hall '-P 4 2'
_cell_length_a 3.229
_cell_length_b 3.229
_cell_length_c 17.912
_cell_angle_alpha 90.00
_cell_angle_beta 90.00
_cell_angle_gamma 90.00
loop_
_atom_site_label
_atom_site_type_symbol
_atom_site_fract_x
_atom_site_fract_y
_atom_site_fract_z
Sc1 Sc 0.000 0.000 0.000
Sc2 Sc 0.000 0.000 0.205
Sc3 Sc 0.000 0.000 0.408
Ga1 Ga 0.500 0.500 0.103
Ga2 Ga 0.500 0.500 0.308
Cu1 Cu 0.500 0.500 0.500
```

DFT total energy (eV per atom): -5.327
Formation enthalpy at 0 K (meV per atom): -541
Total magnetization (μB/atom): 0.000

A plane-wave DFT calculation with PBE was carried out for crystalline Sc4Ga2Cu at its relaxed geometry.

The structure in CIF format:
```
data_Sc4Ga2Cu
_chemical_formula_sum 'Sc12 Ga6 Cu3'
_space_group_name_H-M_alt 'R -3 m'
_space_group_IT_number 166
_space_group_name_Hall '-R 3 2"'
_cell_length_a 4.6757
_cell_length_b 4.6757
_cell_length_c 22.7782
_cell_angle_alpha 90.00
_cell_angle_beta 90.00
_cell_angle_gamma 120.00
loop_
_atom_site_label
_atom_site_type_symbol
_atom_site_fract_x
_atom_site_fract_y
_atom_site_fract_z
Sc1 Sc 0.0000 0.0000 0.1226
Sc2 Sc 0.0000 0.0000 0.3734
Ga1 Ga 0.0000 0.0000 0.2501
Cu1 Cu 0.0000 0.0000 0.5000
```

DFT total energy (eV per atom): -5.448
Distance to the lowest polymorph of the same formula (meV per atom): 0
Formation enthalpy at 0 K (meV per atom): -379
Total magnetization (μB/atom): 0.000

A plane-wave DFT calculation with PBE was carried out for crystalline Sc2Ga3Cu4 at its relaxed geometry.

The structure in CIF format:
```
data_Sc2Ga3Cu4
_chemical_formula_sum 'Sc8 Ga12 Cu16'
_space_group_name_H-M_alt 'C m c e'
_space_group_IT_number 64
_space_group_name_Hall '-C 2ac 2'
_cell_length_a 5.291
_cell_length_b 14.872
_cell_length_c 7.152
_cell_angle_alpha 90.00
_cell_angle_beta 90.00
_cell_angle_gamma 90.00
loop_
_atom_site_label
_atom_site_type_symbol
_atom_site_fract_x
_atom_site_fract_y
_atom_site_fract_z
Sc1 Sc 0.000 0.099 0.104
Ga1 Ga 0.000 0.000 0.500
Ga2 Ga 0.250 0.241 0.750
Cu1 Cu 0.000 0.169 0.489
Cu2 Cu 0.250 0.071 0.750
```

DFT total energy (eV per atom): -4.569
Formation enthalpy at 0 K (meV per atom): -332
Total magnetization (μB/atom): 0.000

A plane-wave DFT calculation with PBE was carried out for crystalline Sc2Ga7Cu12 at its relaxed geometry.

The structure in CIF format:
```
data_Sc2Ga7Cu12
_chemical_formula_sum 'Sc2 Ga7 Cu12'
_space_group_name_H-M_alt 'P -3'
_space_group_IT_number 147
_cell_length_a 10.8895
_cell_length_b 10.8895
_cell_length_c 2.9015
_cell_angle_alpha 90.00
_cell_angle_beta 90.00
_cell_angle_gamma 120.00
loop_
_space_group_symop_operation_xyz
'x,y,z'
'-x,-y,-z'
'-y,x-y,z'
'y,-x+y,-z'
'-x+y,-x,z'
'x-y,x,-z'
loop_
_atom_site_label
_atom_site_type_symbol
_atom_site_fract_x
_atom_site_fract_y
_atom_site_fract_z
Sc1 Sc 0.3333 0.6667 0.2470
Ga1 Ga 0.0000 0.0000 0.5000
Ga2 Ga 0.1343 0.7144 0.7458
Cu1 Cu 0.0734 0.2443 0.2405
Cu2 Cu 0.0777 0.4592 0.7502
```

DFT total energy (eV per atom): -4.128
Formation enthalpy at 0 K (meV per atom): -175
Total magnetization (μB/atom): 0.000

A plane-wave DFT calculation with PBE was carried out for crystalline Sc3Ga3Cu at its relaxed geometry.

The structure in CIF format:
```
data_Sc3Ga3Cu
_chemical_formula_sum 'Sc12 Ga12 Cu4'
_space_group_name_H-M_alt 'C 1 2/m 1'
_space_group_IT_number 12
_cell_length_a 10.088
_cell_length_b 4.137
_cell_length_c 13.376
_cell_angle_alpha 90.00
_cell_angle_beta 109.48
_cell_angle_gamma 90.00
loop_
_space_group_symop_operation_xyz
'x,y,z'
'-x,-y,-z'
'-x,y,-z'
'x,-y,z'
'x+1/2,y+1/2,z'
'-x+1/2,-y+1/2,-z'
'-x+1/2,y+1/2,-z'
'x+1/2,-y+1/2,z'
loop_
_atom_site_label
_atom_site_type_symbol
_atom_site_fract_x
_atom_site_fract_y
_atom_site_fract_z
Sc1 Sc 0.034 0.000 0.383
Sc2 Sc 0.102 0.000 0.922
Sc3 Sc 0.236 0.000 0.226
Ga1 Ga 0.025 0.500 0.234
Ga2 Ga 0.117 0.500 0.075
Ga3 Ga 0.135 0.500 0.546
Cu1 Cu 0.243 0.500 0.392
```

DFT total energy (eV per atom): -5.152
Formation enthalpy at 0 K (meV per atom): -556
Total magnetization (μB/atom): 0.000

Question: Which of these has the lowest DFT total energy?
Answer: Sc4Ga2Cu

Question: What is the DFT total energy in the fifth record?
Answer: -4.967 eV per atom